1.
A relaxed HoMgSbPd crystal, computed with PBE-GGA.

abc: 4.986 4.986 4.986
angles: 60.00 60.00 60.00
Atoms (fractional coordinates):
Sb 0.250 0.250 0.250
Mg 0.500 0.500 0.500
Ho 0.000 0.000 0.000
Pd 0.750 0.750 0.750

- Raw total energy: -18.02 eV/cell
- Symmetry: F-43m (216)

---

2.
A relaxed HoMgScPd crystal, computed with PBE-GGA.

abc: 4.977 4.977 4.977
angles: 60.00 60.00 60.00
Atoms (fractional coordinates):
Sc 0.000 0.000 0.000
Pd 0.750 0.750 0.750
Ho 0.500 0.500 0.500
Mg 0.250 0.250 0.250

- Symmetry: F-43m (216)
- E_form: -0.39 eV per atom

---

Volume per entry: 21.92 21.80 A^3/atom